DFT (GGA+U) results for a geometry-optimized BaNi2F6 structure.

## Properties
- E (eV/atom) = -4.794
- space group = P-31m (162)

a b c (Å): 5.379 5.379 5.613
angles (deg): 90.00 90.00 120.00
Element x y z (fractional)
Ba  0.000  0.000  0.000
Ni  0.333  0.667  0.500
Ni  0.667  0.333  0.500
F  0.000  0.376  0.702
F  0.000  0.624  0.298
F  0.376  0.000  0.702
F  0.376  0.376  0.298
F  0.624  0.000  0.298
F  0.624  0.624  0.702